(1)
DFT (GGA-PBE) results for an optimized crystal structure of CaTc3Br.

Cell and atoms, written as CIF:
```
data_CaTc3Br
_chemical_formula_sum 'Ca1 Tc3 Br1'
_space_group_name_H-M_alt 'P m -3 m'
_space_group_IT_number 221
_space_group_name_Hall '-P 4 2 3'
_cell_length_a 4.6496
_cell_length_b 4.6496
_cell_length_c 4.6496
_cell_angle_alpha 90.00
_cell_angle_beta 90.00
_cell_angle_gamma 90.00
loop_
_atom_site_label
_atom_site_type_symbol
_atom_site_fract_x
_atom_site_fract_y
_atom_site_fract_z
Ca1 Ca 0.0000 0.0000 0.0000
Tc1 Tc 0.0000 0.5000 0.5000
Br1 Br 0.5000 0.5000 0.5000
```

(2)
DFT (GGA-PBE) results for an optimized crystal structure of CaTcBr.

Cell and atoms, written as CIF:
```
data_CaTcBr
_chemical_formula_sum 'Ca1 Tc1 Br1'
_space_group_name_H-M_alt 'P 3 m 1'
_space_group_IT_number 156
_cell_length_a 3.5432
_cell_length_b 3.5432
_cell_length_c 6.6997
_cell_angle_alpha 90.00
_cell_angle_beta 90.00
_cell_angle_gamma 120.00
loop_
_space_group_symop_operation_xyz
'x,y,z'
'-y,x-y,z'
'-x+y,-x,z'
'-y,-x,z'
'-x+y,y,z'
'x,x-y,z'
loop_
_atom_site_label
_atom_site_type_symbol
_atom_site_fract_x
_atom_site_fract_y
_atom_site_fract_z
Ca1 Ca 0.0000 0.0000 0.0000
Tc1 Tc 0.6667 0.3333 0.3442
Br1 Br 0.3333 0.6667 0.6744
```

(3)
DFT (GGA-PBE) results for an optimized crystal structure of CaTcBr.

Cell and atoms, written as CIF:
```
data_CaTcBr
_chemical_formula_sum 'Ca1 Tc1 Br1'
_space_group_name_H-M_alt 'P -6 m 2'
_space_group_IT_number 187
_space_group_name_Hall 'P -6 2'
_cell_length_a 4.4655
_cell_length_b 4.4655
_cell_length_c 3.6038
_cell_angle_alpha 90.00
_cell_angle_beta 90.00
_cell_angle_gamma 120.00
loop_
_atom_site_label
_atom_site_type_symbol
_atom_site_fract_x
_atom_site_fract_y
_atom_site_fract_z
Ca1 Ca 0.0000 0.0000 0.0000
Tc1 Tc 0.6667 0.3333 0.5000
Br1 Br 0.3333 0.6667 0.5000
```

(4)
DFT (GGA-PBE) results for an optimized crystal structure of CaTc3Br.

Cell and atoms, written as CIF:
```
data_CaTc3Br
_chemical_formula_sum 'Ca1 Tc3 Br1'
_space_group_name_H-M_alt 'P m -3 m'
_space_group_IT_number 221
_space_group_name_Hall '-P 4 2 3'
_cell_length_a 5.1750
_cell_length_b 5.1750
_cell_length_c 5.1750
_cell_angle_alpha 90.00
_cell_angle_beta 90.00
_cell_angle_gamma 90.00
loop_
_atom_site_label
_atom_site_type_symbol
_atom_site_fract_x
_atom_site_fract_y
_atom_site_fract_z
Ca1 Ca 0.0000 0.0000 0.0000
Tc1 Tc 0.0000 0.0000 0.5000
Br1 Br 0.5000 0.5000 0.5000
```

Number 1: ΔE_f (raw) 6.01 eV per formula unit, final energy -28.76 eV per cell. Number 2: ΔE_f (raw) 0.92 eV per formula unit, final energy -13.12 eV per cell. Number 3: ΔE_f (raw) 0.92 eV per formula unit, final energy -13.12 eV per cell. Number 4: ΔE_f (raw) 13.21 eV per formula unit, final energy -21.56 eV per cell.